Density functional theory data (GGA+U) for Co2BiCl2O2 after structural relaxation.

```
Co2BiCl2O2
1.0
3.823 0.000 0.000
-1.905 6.179 0.000
-0.108 -2.424 6.533
Co Bi Cl O
2 1 2 2
direct
0.208 0.409 0.113
0.792 0.591 0.887
0.500 0.000 0.000
0.102 0.187 0.330
0.898 0.813 0.670
0.296 0.596 0.933
0.704 0.404 0.067
```

magnetization: 3.0 μB/f.u.
energy: -31.753 eV for the cell shown